[1]
# CsMn2Ir, optimized geometry, DFT GGA-PBE
data_CsMn2Ir
_chemical_formula_sum 'Cs1 Mn2 Ir1'
_cell_length_a 4.884
_cell_length_b 4.884
_cell_length_c 4.884
_cell_angle_alpha 60.00
_cell_angle_beta 60.00
_cell_angle_gamma 60.00
_space_group_name_H-M_alt 'P 1'
_space_group_IT_number 1
_space_group_name_Hall 'P 1'
loop_
_atom_site_label
_atom_site_type_symbol
_atom_site_fract_x
_atom_site_fract_y
_atom_site_fract_z
Cs1 Cs 0.000 0.000 0.000
Mn1 Mn 0.250 0.250 0.250
Mn2 Mn 0.750 0.750 0.750
Ir1 Ir 0.500 0.500 0.500
# Formation energy from the elements, eV per atom: 1.284
# Density of states at the Fermi level, states/eV/f.u.: 2.92


[2]
# Cs3MnIr, optimized geometry, DFT GGA-PBE
data_Cs3MnIr
_chemical_formula_sum 'Cs3 Mn1 Ir1'
_cell_length_a 6.448
_cell_length_b 6.448
_cell_length_c 6.448
_cell_angle_alpha 90.00
_cell_angle_beta 90.00
_cell_angle_gamma 90.00
_space_group_name_H-M_alt 'P 1'
_space_group_IT_number 1
_space_group_name_Hall 'P 1'
loop_
_atom_site_label
_atom_site_type_symbol
_atom_site_fract_x
_atom_site_fract_y
_atom_site_fract_z
Cs1 Cs 0.000 0.000 0.500
Cs2 Cs 0.000 0.500 0.000
Cs3 Cs 0.500 0.000 0.000
Mn1 Mn 0.500 0.500 0.500
Ir1 Ir 0.000 0.000 0.000
# Formation energy from the elements, eV per atom: 1.107
# Density of states at the Fermi level, states/eV/f.u.: 13.02
# Relative energy among the computed polymorphs, eV/atom: 0.0000


Number 1: VASP energy -22.92 eV/cell. Number 2: VASP energy -15.06 eV/cell.